No. 1
NaSc2As2: optimized geometry, GGA-PBE.

Cell: 4.6215 4.6215 7.0248 Å, 70.80 70.80 90.00°
Last column: nearest neighbours and their distance in Å.
Fractional coordinates of all 5 atoms:
Sc 0.7500 0.2500 0.5000  4 As 2.68
Sc 0.2500 0.7500 0.5000  4 As 2.68
Na 0.0000 0.0000 0.0000  8 As 3.71, 8 Sc 3.87
As 0.3589 0.3589 0.2821  4 Sc 2.68
As 0.6411 0.6411 0.7179  4 Sc 2.68

Output
space-group type: I4/mmm
offset from the most stable computed form: 72 meV/atom
energy relative to the elements: -0.794 eV per atom


No. 2
NaScAs2: optimized geometry, GGA-PBE.

Cell: 5.4287 5.4287 9.3194 Å, 73.07 73.07 90.00°
Last column: nearest neighbours and their distance in Å.
Fractional coordinates of all 8 atoms:
Sc 0.0000 0.0000 0.0000  4 As 2.57
Sc 0.7500 0.2500 0.5000  4 As 2.57
Na 0.5000 0.5000 0.0000  4 As 3.36
Na 0.2500 0.7500 0.5000  4 As 3.36
As 0.7849 0.1250 0.2500  2 Sc 2.57
As 0.9651 0.6250 0.2500  2 Sc 2.57
As 0.3750 0.2151 0.7500  2 Sc 2.57
As 0.8750 0.0349 0.7500  2 Sc 2.57

Output
space-group type: I-42d
offset from the most stable computed form: 116 meV/atom
energy relative to the elements: -0.391 eV per atom


No. 3
Na2ScAs: optimized geometry, GGA-PBE.

Cell: 3.9958 3.9958 12.3113 Å, 80.66 80.66 90.00°
Last column: nearest neighbours and their distance in Å.
Fractional coordinates of all 8 atoms:
Sc 0.5000 0.5000 0.0000  4 As 2.83
Sc 0.2500 0.7500 0.5000  4 As 2.83
Na 0.6436 0.1250 0.2500  4 Na 2.72-2.93
Na 0.1064 0.6250 0.2500  4 Na 2.72-2.93
Na 0.3750 0.3564 0.7500  4 Na 2.72-2.93
Na 0.8750 0.8936 0.7500  4 Na 2.72-2.93
As 0.0000 0.0000 0.0000  4 Sc 2.83
As 0.7500 0.2500 0.5000  4 Sc 2.83

Output
space-group type: I-42d
energy relative to the elements: -0.254 eV per atom


No. 4
NaSc2As: optimized geometry, GGA-PBE.

Cell: 11.5630 11.5630 11.5630 Å, 16.02 16.02 16.02°
Last column: nearest neighbours and their distance in Å.
Fractional coordinates of all 4 atoms:
Sc 0.9228 0.9228 0.9228  1 As 2.64
Sc 0.0772 0.0772 0.0772  1 As 2.64
Na 0.5000 0.5000 0.5000  6 Na 3.22, 6 Sc 3.58
As 0.0000 0.0000 0.0000  2 Sc 2.64

Output
space-group type: R-3m
energy relative to the elements: 0.208 eV per atom


No. 5
NaScAs2: optimized geometry, GGA-PBE.

Cell: 4.8520 4.8520 4.8520 Å, 60.00 60.00 60.00°
Last column: nearest neighbours and their distance in Å.
Fractional coordinates of all 4 atoms:
Sc 0.5000 0.5000 0.5000  8 As 2.97
Na 0.0000 0.0000 0.0000  8 As 2.97
As 0.2500 0.2500 0.2500  4 Na 2.97, 4 Sc 2.97
As 0.7500 0.7500 0.7500  4 Sc 2.97, 4 Na 2.97

Output
space-group type: Fm-3m
offset from the most stable computed form: 0 meV/atom
energy relative to the elements: -0.507 eV per atom


No. 6
NaSc2As: optimized geometry, GGA-PBE.

Cell: 10.0767 10.0767 10.0767 Å, 21.03 21.03 21.03°
Last column: nearest neighbours and their distance in Å.
Fractional coordinates of all 4 atoms:
Sc 0.8860 0.8860 0.8860  3 As 2.63
Sc 0.1140 0.1140 0.1140  3 As 2.63
Na 0.0000 0.0000 0.0000  2 Sc 3.37, 6 Na 3.68
As 0.5000 0.5000 0.5000  6 Sc 2.63

Output
space-group type: R-3m
energy relative to the elements: -0.380 eV per atom


No. 7
Na2ScAs2: optimized geometry, GGA-PBE.

Cell: 7.9538 7.9538 3.4799 Å, 90.00 90.00 90.00°
Last column: nearest neighbours and their distance in Å.
Fractional coordinates of all 10 atoms:
Sc 0.0000 0.0000 0.0000  4 As 2.91
Sc 0.5000 0.5000 0.0000  4 As 2.91
Na 0.1204 0.6204 0.5000  1 Na 2.71, 6 As 2.81-3.02
Na 0.6204 0.8796 0.5000  1 Na 2.71, 6 As 2.81-3.02
Na 0.8796 0.3796 0.5000  1 Na 2.71, 6 As 2.81-3.02
Na 0.3796 0.1204 0.5000  1 Na 2.71, 6 As 2.81-3.02
As 0.3170 0.8170 0.0000  6 Na 2.81-3.02, 2 Sc 2.91
As 0.8170 0.6830 0.0000  6 Na 2.81-3.02, 2 Sc 2.91
As 0.6830 0.1830 0.0000  6 Na 2.81-3.02, 2 Sc 2.91
As 0.1830 0.3170 0.0000  6 Na 2.81-3.02, 2 Sc 2.91

Output
space-group type: P4/mbm
energy relative to the elements: -0.349 eV per atom


No. 8
NaSc2As2: optimized geometry, GGA-PBE.

Cell: 5.1454 5.1454 6.2002 Å, 65.48 65.48 90.00°
Last column: nearest neighbours and their distance in Å.
Fractional coordinates of all 5 atoms:
Sc 0.3193 0.3193 0.3613  4 As 2.67
Sc 0.6807 0.6807 0.6387  4 As 2.67
Na 0.0000 0.0000 0.0000  2 Sc 3.21
As 0.7500 0.2500 0.5000  4 Sc 2.67
As 0.2500 0.7500 0.5000  4 Sc 2.67

Output
space-group type: I4/mmm
offset from the most stable computed form: 222 meV/atom
energy relative to the elements: -0.645 eV per atom


No. 9
NaSc2As2: optimized geometry, GGA-PBE.

Cell: 7.5833 7.5833 3.6033 Å, 90.00 90.00 90.00°
Last column: nearest neighbours and their distance in Å.
Fractional coordinates of all 10 atoms:
Sc 0.1477 0.6477 0.5000  6 As 2.79-2.91
Sc 0.6477 0.8523 0.5000  6 As 2.79-2.91
Sc 0.8523 0.3523 0.5000  6 As 2.79-2.91
Sc 0.3523 0.1477 0.5000  6 As 2.79-2.91
Na 0.0000 0.0000 0.0000  4 As 2.87
Na 0.5000 0.5000 0.0000  4 As 2.87
As 0.3459 0.8459 0.0000  6 Sc 2.79-2.91, 2 Na 2.87
As 0.8459 0.6541 0.0000  6 Sc 2.79-2.91, 2 Na 2.87
As 0.6541 0.1541 0.0000  6 Sc 2.79-2.91, 2 Na 2.87
As 0.1541 0.3459 0.0000  6 Sc 2.79-2.91, 2 Na 2.87

Output
space-group type: P4/mbm
offset from the most stable computed form: 0 meV/atom
energy relative to the elements: -0.866 eV per atom


No. 10
NaScAs2Se: optimized geometry, GGA-PBE.

Cell: 4.9138 4.9138 5.0111 Å, 90.00 90.00 90.00°
Last column: nearest neighbours and their distance in Å.
Fractional coordinates of all 5 atoms:
Sc 0.5000 0.5000 0.5000  4 Se 3.47, 8 As 3.51
Na 0.0000 0.0000 0.0000  4 As 2.46, 2 Se 2.51
As 0.0000 0.5000 0.0000  2 Na 2.46
As 0.5000 0.0000 0.0000  2 Na 2.46
Se 0.0000 0.0000 0.5000  2 Na 2.51

Output
space-group type: P4/mmm
offset from the most stable computed form: 789 meV/atom


No. 11
NaScAsSe2: optimized geometry, GGA-PBE.

Cell: 5.0586 5.0586 4.8192 Å, 90.00 90.00 90.00°
Last column: nearest neighbours and their distance in Å.
Fractional coordinates of all 5 atoms:
Sc 0.5000 0.5000 0.5000  8 Se 3.49, 4 As 3.58
Na 0.0000 0.0000 0.0000  2 As 2.41, 4 Se 2.53
As 0.0000 0.0000 0.5000  2 Na 2.41
Se 0.0000 0.5000 0.0000  2 Na 2.53
Se 0.5000 0.0000 0.0000  2 Na 2.53

Output
space-group type: P4/mmm
offset from the most stable computed form: 858 meV/atom


No. 12
NaScAsSe2: optimized geometry, GGA-PBE.

Cell: 5.2212 5.2212 5.1769 Å, 90.00 90.00 90.00°
Last column: nearest neighbours and their distance in Å.
Fractional coordinates of all 5 atoms:
Sc 0.0000 0.0000 0.0000  2 As 2.59, 4 Se 2.61
Na 0.5000 0.5000 0.5000  8 Se 3.68, 4 As 3.69
As 0.0000 0.0000 0.5000  2 Sc 2.59
Se 0.0000 0.5000 0.0000  2 Sc 2.61
Se 0.5000 0.0000 0.0000  2 Sc 2.61

Output
space-group type: P4/mmm
offset from the most stable computed form: 0 meV/atom


No. 13
NaScAs2Se: optimized geometry, GGA-PBE.

Cell: 5.1487 5.1487 5.2416 Å, 90.00 90.00 90.00°
Last column: nearest neighbours and their distance in Å.
Fractional coordinates of all 5 atoms:
Sc 0.0000 0.0000 0.0000  4 As 2.57, 2 Se 2.62
Na 0.5000 0.5000 0.5000  4 Se 3.64, 8 As 3.67
As 0.0000 0.5000 0.0000  2 Sc 2.57
As 0.5000 0.0000 0.0000  2 Sc 2.57
Se 0.0000 0.0000 0.5000  2 Sc 2.62

Output
space-group type: P4/mmm
offset from the most stable computed form: 0 meV/atom


No. 14
NaSc2TcAs: optimized geometry, GGA-PBE.

Cell: 5.0549 4.9751 5.0549 Å, 90.00 90.00 90.00°
Last column: nearest neighbours and their distance in Å.
Fractional coordinates of all 5 atoms:
Sc 0.0000 0.0000 0.5000  2 As 2.53
Sc 0.5000 0.0000 0.0000  2 As 2.53
Na 0.0000 0.5000 0.0000  2 As 2.49
As 0.0000 0.0000 0.0000  2 Na 2.49, 4 Sc 2.53
Tc 0.5000 0.5000 0.5000  8 Sc 3.55, 4 Na 3.57

Output
space-group type: P4/mmm
energy relative to the elements: 0.487 eV per atom


No. 15
NaScTl2As: optimized geometry, GGA-PBE.

Cell: 5.7134 5.1221 5.7134 Å, 90.00 90.00 90.00°
Last column: nearest neighbours and their distance in Å.
Fractional coordinates of all 5 atoms:
Sc 0.0000 0.0000 0.0000  2 As 2.56, 4 Tl 2.86
Na 0.5000 0.5000 0.5000  8 Tl 3.84, 4 As 4.04
Tl 0.0000 0.0000 0.5000  2 Sc 2.86
Tl 0.5000 0.0000 0.0000  2 Sc 2.86
As 0.0000 0.5000 0.0000  2 Sc 2.56

Output
space-group type: P4/mmm
energy relative to the elements: -0.041 eV per atom


No. 16
NaSc2TlAs: optimized geometry, GGA-PBE.

Cell: 5.1751 4.8820 5.1751 Å, 90.00 90.00 90.00°
Last column: nearest neighbours and their distance in Å.
Fractional coordinates of all 5 atoms:
Sc 0.0000 0.0000 0.5000  2 Na 2.59
Sc 0.5000 0.0000 0.0000  2 Na 2.59
Na 0.0000 0.0000 0.0000  2 As 2.44, 4 Sc 2.59
Tl 0.5000 0.5000 0.5000  8 Sc 3.56, 4 As 3.66
As 0.0000 0.5000 0.0000  2 Na 2.44

Output
space-group type: P4/mmm
energy relative to the elements: 0.659 eV per atom


No. 17
NaScVAs2: optimized geometry, GGA-PBE.

Cell: 4.9885 4.5196 4.9885 Å, 90.00 90.00 90.00°
Last column: nearest neighbours and their distance in Å.
Fractional coordinates of all 5 atoms:
Sc 0.5000 0.5000 0.5000  8 As 3.37, 4 V 3.53
Na 0.0000 0.0000 0.0000  2 V 2.26, 4 As 2.49
As 0.0000 0.0000 0.5000  2 Na 2.49
As 0.5000 0.0000 0.0000  2 Na 2.49
V 0.0000 0.5000 0.0000  2 Na 2.26

Output
space-group type: P4/mmm
energy relative to the elements: 0.848 eV per atom


No. 18
NaSc2AsW: optimized geometry, GGA-PBE.

Cell: 5.2024 4.8956 5.2024 Å, 90.00 90.00 90.00°
Last column: nearest neighbours and their distance in Å.
Fractional coordinates of all 5 atoms:
Sc 0.0000 0.0000 0.5000  2 W 2.60
Sc 0.5000 0.0000 0.0000  2 W 2.60
Na 0.5000 0.5000 0.5000  8 Sc 3.57, 4 As 3.68
As 0.0000 0.5000 0.0000  2 W 2.45
W 0.0000 0.0000 0.0000  2 As 2.45, 4 Sc 2.60

Output
space-group type: P4/mmm
energy relative to the elements: 0.330 eV per atom


No. 19
Na2AsSe: optimized geometry, GGA-PBE.

Cell: 8.1569 8.1569 6.4172 Å, 50.54 50.54 90.00°
Last column: nearest neighbours and their distance in Å.
Fractional coordinates of all 8 atoms:
Na 0.6403 0.1250 0.2500  2 Na 2.82, 2 Se 2.88, 2 As 3.06
Na 0.1097 0.6250 0.2500  2 Na 2.82, 2 Se 2.88, 2 As 3.06
Na 0.3750 0.3597 0.7500  2 Na 2.82, 2 Se 2.88, 2 As 3.06
Na 0.8750 0.8903 0.7500  2 Na 2.82, 2 Se 2.88, 2 As 3.06
As 0.5000 0.5000 0.0000  2 Se 2.81, 4 Na 3.06
As 0.2500 0.7500 0.5000  2 Se 2.81, 4 Na 3.06
Se 0.0000 0.0000 0.0000  2 As 2.81, 4 Na 2.88
Se 0.7500 0.2500 0.5000  2 As 2.81, 4 Na 2.88

Output
space-group type: I-42d
offset from the most stable computed form: 0 meV/atom


No. 20
NaAs2Se4: optimized geometry, GGA-PBE.

Cell: 3.7411 6.6679 13.9719 Å, 90.00 90.00 106.29°
Last column: nearest neighbours and their distance in Å.
Fractional coordinates of all 14 atoms:
Na 0.6030 0.2061 0.7500  6 Se 2.93-3.13
Na 0.3970 0.7939 0.2500  6 Se 2.93-3.13
As 0.1402 0.2804 0.4302  6 Se 2.62-2.77
As 0.8598 0.7196 0.9302  6 Se 2.62-2.77
As 0.1402 0.2804 0.0698  6 Se 2.62-2.77
As 0.8598 0.7196 0.5698  6 Se 2.62-2.77
Se 0.7775 0.5550 0.1080  3 As 2.62-2.70
Se 0.7775 0.5550 0.3920  3 As 2.62-2.70
Se 0.2225 0.4450 0.8920  3 As 2.62-2.70
Se 0.2225 0.4450 0.6080  3 As 2.62-2.70
Se 0.9273 0.8547 0.7500  2 As 2.66, 2 Na 2.93
Se 0.0727 0.1453 0.2500  2 As 2.66, 2 Na 2.93
Se 0.5000 0.0000 0.0000  4 As 2.77
Se 0.5000 0.0000 0.5000  4 As 2.77

Output
space-group type: Cmcm
VASP energy: -52.4 eV per cell